Zr2InPtO: optimized geometry, PBE.

Cell: 5.1089 5.1089 5.0005 Å, 90.00 90.00 90.00°
With the nearest neighbours (Å) after each atom.
Fractional coordinates of all 5 atoms:
Zr1 0.0000 0.5000 0.0000  2 Pt 2.55
Zr2 0.5000 0.0000 0.0000  2 Pt 2.55
In1 0.0000 0.0000 0.5000  2 Pt 2.50
Pt1 0.0000 0.0000 0.0000  2 In 2.50, 4 Zr 2.55
O1 0.5000 0.5000 0.5000  8 Zr 3.57, 4 In 3.61

Computed properties:
symmetry = No. 123
relative energy among the computed polymorphs = 1398.2 meV per atom
raw formation energy = 0.44 eV/atom